(1)
Below is Dy8Y6Tl after structural relaxation, with properties calculated at the PBE level.

Output
- ΔH_f (0 K) (eV/f.u.) = 2.950
- theoretical density (g cm⁻³) = 6.9
- size of the total moment (μB per cell) = 0.00

a = 9.1613 Å, b = 9.1613 Å, c = 6.7254 Å
α = 90.00°, β = 90.00°, γ = 120.00°
Space group P-3 (No. 147)
Inequivalent atoms, fractional coordinates:
Dy  0.0078  0.3188  0.3847 [6 per cell]
Dy  0.3333  0.6667  0.6715 [2 per cell]
Y  0.0825  0.6812  0.1081 [6 per cell]
Tl  0.0000  0.0000  0.0000 [1 per cell]

=====

(2)
Below is Dy3Y2Tl after structural relaxation, with properties calculated at the PBE level.

Output
- ΔH_f (0 K) (eV/f.u.) = -0.661
- theoretical density (g cm⁻³) = 8.0
- size of the total moment (μB per cell) = 0.00

a = 4.8635 Å, b = 15.1444 Å, c = 4.8908 Å
α = 90.00°, β = 90.00°, γ = 90.00°
Space group Cmmm (No. 65)
Inequivalent atoms, fractional coordinates:
Dy  0.0000  0.0000  0.0000 [2 per cell]
Dy  0.0000  0.3307  0.0000 [4 per cell]
Y  0.0000  0.1613  0.5000 [4 per cell]
Tl  0.0000  0.5000  0.5000 [2 per cell]

=====

(3)
Below is Dy6YTl2 after structural relaxation, with properties calculated at the PBE level.

Output
- ΔH_f (0 K) (eV/f.u.) = -1.394
- theoretical density (g cm⁻³) = 9.0
- size of the total moment (μB per cell) = 0.00

a = 12.8034 Å, b = 3.7401 Å, c = 11.9271 Å
α = 90.00°, β = 108.15°, γ = 90.00°
Space group C2/m (No. 12)
Inequivalent atoms, fractional coordinates:
Dy  0.0134  0.0000  0.3448 [4 per cell]
Dy  0.1855  0.5000  0.8755 [4 per cell]
Dy  0.1902  0.5000  0.5847 [4 per cell]
Y  0.0000  0.0000  0.0000 [2 per cell]
Tl  0.1396  0.5000  0.2064 [4 per cell]

=====

(4)
Below is Dy2YTl after structural relaxation, with properties calculated at the PBE level.

Output
- ΔH_f (0 K) (eV/f.u.) = -0.423
- theoretical density (g cm⁻³) = 8.4
- size of the total moment (μB per cell) = 0.00

a = 3.5723 Å, b = 3.5723 Å, c = 33.1445 Å
α = 90.00°, β = 90.00°, γ = 120.00°
Space group R-3m (No. 166, hexagonal axes)
Inequivalent atoms, fractional coordinates:
Dy  0.0000  0.0000  0.2462 [6 per cell]
Y  0.0000  0.0000  0.0000 [3 per cell]
Tl  0.0000  0.0000  0.5000 [3 per cell]

=====

(5)
Below is Dy3Y2Tl after structural relaxation, with properties calculated at the PBE level.

Output
- ΔH_f (0 K) (eV/f.u.) = 1.433
- theoretical density (g cm⁻³) = 7.7
- size of the total moment (μB per cell) = 0.00

a = 5.7701 Å, b = 6.4173 Å, c = 10.1817 Å
α = 90.00°, β = 90.00°, γ = 90.00°
Space group Immm (No. 71)
Inequivalent atoms, fractional coordinates:
Dy  0.0000  0.0000  0.0000 [2 per cell]
Dy  0.0000  0.0000  0.3467 [4 per cell]
Y  0.0000  0.5000  0.3145 [4 per cell]
Tl  0.0000  0.5000  0.0000 [2 per cell]

=====

(6)
Below is DyY12Tl3 after structural relaxation, with properties calculated at the PBE level.

Output
- ΔH_f (0 K) (eV/f.u.) = -2.138
- theoretical density (g cm⁻³) = 6.4
- size of the total moment (μB per cell) = 2.30

a = 4.8851 Å, b = 4.8851 Å, c = 19.9666 Å
α = 90.00°, β = 90.00°, γ = 90.00°
Space group P4/mmm (No. 123)
Inequivalent atoms, fractional coordinates:
Dy  0.0000  0.0000  0.0000 [1 per cell]
Y  0.0000  0.5000  0.1306 [4 per cell]
Y  0.0000  0.5000  0.3774 [4 per cell]
Y  0.5000  0.5000  0.0000 [1 per cell]
Y  0.5000  0.5000  0.2553 [2 per cell]
Y  0.5000  0.5000  0.5000 [1 per cell]
Tl  0.0000  0.0000  0.2567 [2 per cell]
Tl  0.0000  0.0000  0.5000 [1 per cell]

=====

(7)
Below is Dy6YTl5 after structural relaxation, with properties calculated at the PBE level.

Output
- ΔH_f (0 K) (eV/f.u.) = -3.298
- theoretical density (g cm⁻³) = 10.3
- size of the total moment (μB per cell) = 0.04

a = 5.0060 Å, b = 8.8340 Å, c = 15.1896 Å
α = 90.00°, β = 90.00°, γ = 90.00°
Space group Immm (No. 71)
Inequivalent atoms, fractional coordinates:
Dy  0.0000  0.2251  0.0000 [4 per cell]
Dy  0.0000  0.2644  0.3295 [8 per cell]
Y  0.0000  0.0000  0.5000 [2 per cell]
Tl  0.0000  0.0000  0.1795 [4 per cell]
Tl  0.0000  0.5000  0.1471 [4 per cell]
Tl  0.0000  0.5000  0.5000 [2 per cell]

=====

(8)
Below is DyYTl after structural relaxation, with properties calculated at the PBE level.

Output
- ΔH_f (0 K) (eV/f.u.) = 0.581
- theoretical density (g cm⁻³) = 6.8
- size of the total moment (μB per cell) = 3.86

a = 9.5309 Å, b = 9.5632 Å, c = 4.9114 Å
α = 90.00°, β = 90.00°, γ = 90.00°
Space group Cmmm (No. 65)
Inequivalent atoms, fractional coordinates:
Dy  0.1876  0.0000  0.0000 [4 per cell]
Y  0.0000  0.3114  0.5000 [4 per cell]
Tl  0.0000  0.0000  0.5000 [2 per cell]
Tl  0.0000  0.5000  0.0000 [2 per cell]

=====

Question: Look up the theoretical density of the sixth one.
Answer: 6.4 g cm⁻³

=====

Question: What is the formula in the fifth record?
Answer: Dy3Y2Tl

=====

Question: Which of these has the highest ΔH_f (0 K)?
Answer: Dy8Y6Tl